1.
Compound: KLi2ZnF6
Source: the Alexandria database
Functional: GGA-PBE
Structure: relaxed

Unit cell a=6.790 b=7.315 c=7.315 alpha=100.89 beta=71.84 gamma=71.84
Element x y z (fractional)
Li: 0.142 0.451 0.291
F: 0.968 0.354 0.820
F: 0.468 0.820 0.354
F: 0.794 0.067 0.213
F: 0.706 0.787 0.933
Zn: 0.750 0.813 0.187
F: 0.206 0.933 0.787
Li: 0.642 0.291 0.451
K: 0.750 0.120 0.880
F: 0.095 0.638 0.569
F: 0.532 0.180 0.646
K: 0.250 0.880 0.120
F: 0.032 0.646 0.180
F: 0.294 0.213 0.067
F: 0.595 0.569 0.638
Li: 0.358 0.709 0.549
Li: 0.858 0.549 0.709
F: 0.905 0.362 0.431
F: 0.405 0.431 0.362
Zn: 0.250 0.187 0.813

Output
As for the total DFT energy (no corrections): -41.4 eV/f.u. The value obtained for the mass density is 2.48 g/cm³. The calculation puts the formation energy without anion corrections at -2.3974 eV/atom.


2.
Compound: SrGa2Re
Source: the Alexandria database
Functional: GGA-PBE
Structure: relaxed

Unit cell a=5.156 b=5.156 c=9.132 alpha=73.60 beta=73.60 gamma=90.00
Element x y z (fractional)
Sr: 0.500 0.500 0.000
Ga: 0.875 0.123 0.750
Ga: 0.375 0.127 0.750
Ga: 0.877 0.625 0.250
Ga: 0.873 0.125 0.250
Re: 0.750 0.250 0.500
Sr: 0.250 0.750 0.500
Re: 0.000 0.000 0.000

Output
As for the energy of formation: 124.1 kJ/mol of formula units. As for the total DFT energy (no corrections): -18.9 eV/f.u. The value obtained for the mass density is 6.17 g/cm³.


3.
Compound: Ta2TlAg
Source: the Alexandria database
Functional: GGA-PBE
Structure: relaxed

Unit cell a=5.403 b=5.403 c=5.403 alpha=135.77 beta=135.77 gamma=64.34
Element x y z (fractional)
Tl: 0.250 0.750 0.500
Ag: 0.750 0.250 0.500
Ta: 0.000 0.000 0.000
Ta: 0.500 0.500 0.000

Output
As for the energy of formation: 165.7 kJ/mol of formula units. As for the total DFT energy (no corrections): -27.2 eV/f.u. The value obtained for the mass density is 14.78 g/cm³.


What is the total DFT energy (no corrections) in the first record?
-41.4 eV/f.u.